No. 1
Below is a relaxed structure of AcZrP2O8, with properties calculated at the GGA-PBE level.

Summary:
spin magnetization: 1.000 μB/f.u.
calculated total energy: -7.9669 eV per atom

a = 4.934 Å, b = 4.934 Å, c = 7.838 Å
α = 71.65°, β = 71.65°, γ = 60.00°
Fractional positions:
Ac: 0.500 0.500 0.500
Zr: 0.000 0.000 0.000
P: 0.250 0.250 0.251
P: 0.750 0.750 0.749
O: 0.179 0.179 0.464
O: 0.568 0.277 0.188
O: 0.821 0.821 0.536
O: 0.967 0.568 0.188
O: 0.033 0.432 0.812
O: 0.277 0.967 0.188
O: 0.723 0.033 0.812
O: 0.432 0.723 0.812

---

No. 2
Below is a relaxed structure of Ac3PaO8, with properties calculated at the GGA-PBE level.

Summary:
spin magnetization: 2.030 μB/f.u.
calculated total energy: -8.2672 eV per atom

a = 5.800 Å, b = 5.800 Å, c = 7.094 Å
α = 114.13°, β = 114.13°, γ = 90.00°
Fractional positions:
Ac: 0.750 0.250 0.500
Ac: 0.500 0.500 0.000
Ac: 0.250 0.750 0.500
Pa: 0.000 0.000 0.000
O: 0.348 0.348 0.233
O: 0.348 0.885 0.233
O: 0.115 0.652 0.767
O: 0.115 0.115 0.767
O: 0.885 0.885 0.233
O: 0.885 0.348 0.233
O: 0.652 0.115 0.767
O: 0.652 0.652 0.767

---

No. 3
Below is a relaxed structure of AcPaO2, with properties calculated at the GGA-PBE level.

Summary:
spin magnetization: 0.002 μB/f.u.
calculated total energy: -8.4534 eV per atom
relative energy among the computed polymorphs: 0.0 meV per atom

a = 3.818 Å, b = 3.818 Å, c = 7.021 Å
α = 74.22°, β = 74.22°, γ = 60.00°
Fractional positions:
Ac: 0.000 0.000 0.000
Pa: 0.500 0.500 0.500
O: 0.130 0.130 0.609
O: 0.870 0.870 0.391

---

No. 4
Below is a relaxed structure of AcPaO2, with properties calculated at the GGA-PBE level.

Summary:
spin magnetization: 1.087 μB/f.u.
calculated total energy: -7.4673 eV per atom
relative energy among the computed polymorphs: 986.1 meV per atom

a = 3.181 Å, b = 3.181 Å, c = 6.681 Å
α = 90.00°, β = 90.00°, γ = 90.00°
Fractional positions:
Ac: 0.500 0.500 0.500
Pa: 0.500 0.500 0.000
O: 0.000 0.000 0.798
O: 0.000 0.000 0.202

---

No. 5
Below is a relaxed structure of Ac3Pa2O9, with properties calculated at the GGA-PBE level.

Summary:
spin magnetization: 0.887 μB/f.u.
calculated total energy: -8.6976 eV per atom

a = 4.051 Å, b = 4.051 Å, c = 15.335 Å
α = 97.59°, β = 97.59°, γ = 90.00°
Fractional positions:
Ac: 0.157 0.657 0.314
Ac: 0.343 0.843 0.686
Ac: 0.750 0.250 0.500
Pa: 0.949 0.449 0.897
Pa: 0.551 0.051 0.103
O: 0.586 0.586 0.171
O: 0.196 0.196 0.391
O: 0.804 0.804 0.609
O: 0.414 0.414 0.829
O: 0.927 0.927 0.855
O: 0.500 0.500 0.000
O: 0.073 0.073 0.145
O: 0.698 0.698 0.396
O: 0.302 0.302 0.604

---

No. 6
Below is a relaxed structure of Ac2Pa2O7, with properties calculated at the GGA-PBE level.

Summary:
spin magnetization: 0.138 μB/f.u.
calculated total energy: -9.1527 eV per atom
relative energy among the computed polymorphs: 0.0 meV per atom

a = 8.041 Å, b = 8.041 Å, c = 8.041 Å
α = 60.00°, β = 60.00°, γ = 60.00°
Fractional positions:
Ac: 0.625 0.625 0.625
Ac: 0.625 0.625 0.125
Ac: 0.625 0.125 0.625
Ac: 0.125 0.625 0.625
Pa: 0.625 0.125 0.125
Pa: 0.125 0.625 0.125
Pa: 0.125 0.125 0.625
Pa: 0.125 0.125 0.125
O: 0.219 0.219 0.781
O: 0.219 0.781 0.219
O: 0.469 0.031 0.469
O: 0.469 0.469 0.031
O: 0.750 0.750 0.750
O: 0.781 0.219 0.219
O: 0.469 0.031 0.031
O: 0.031 0.469 0.469
O: 0.031 0.031 0.469
O: 0.031 0.469 0.031
O: 0.219 0.781 0.781
O: 0.500 0.500 0.500
O: 0.781 0.219 0.781
O: 0.781 0.781 0.219